La6Hg2Pd: relaxed, PBE.

abc: 6.472 8.317 10.824
angles: 90.00 91.22 90.00
Atoms (fractional coordinates):
La  0.873  0.973  0.243
La  0.866  0.652  0.546
La  0.876  0.699  0.953
La  0.624  0.199  0.547
La  0.634  0.152  0.954
La  0.627  0.473  0.257
La  0.127  0.027  0.757
La  0.134  0.348  0.454
La  0.124  0.301  0.047
La  0.376  0.801  0.453
La  0.366  0.848  0.046
La  0.373  0.527  0.743
Hg  0.901  0.381  0.765
Hg  0.599  0.881  0.735
Hg  0.401  0.119  0.265
Hg  0.099  0.619  0.235
Pd  0.500  0.500  0.000
Pd  0.000  0.000  0.500

- Volume: 32.36 Å³/atom
- Crystal system: monoclinic
- DFT formation energy: -32.2 kJ/mol of atoms
- Excess energy over the best structure of this formula in the dataset: 74 kJ/mol of formula units
- DOS at the Fermi energy: 12.2 states/eV/f.u.